Ba5Mg4Tl4 | GGA-PBE | relaxed

Its crystal system is tetragonal. For the formation enthalpy at 0 K, the calculation gives -0.261 eV/atom.

The structure belongs to space group I4/m (No. 87); the cell edges are 13.518, 13.518 and 5.101 Å and the angles 90.00°, 90.00° and 90.00°. The distinct sites, in fractional coordinates, are Ba at (0.000, 0.000, 0.000), Ba at (0.140, 0.208, 0.500), Mg at (0.065, 0.601, 0.500) and Tl at (0.046, 0.733, 0.000).

---

BaVN2 | GGA-PBE | relaxed

Its crystal system is orthorhombic. Its energy relative to the elements, uncorrected is -100 kJ per mole of atoms.

The structure belongs to space group Cmce (No. 64); the cell edges are 5.819, 11.997 and 7.779 Å and the angles 90.00°, 90.00° and 90.00°. The distinct sites, in fractional coordinates, are Ba at (0.000, 0.168, 0.070), V at (0.000, 0.056, 0.642), N at (0.000, 0.102, 0.412) and N at (0.250, 0.117, 0.750).

---

NdHo3Th2 | GGA-PBE | relaxed

For the distance to the lowest polymorph of the same formula, the calculation gives 0.31 eV per formula unit. Its crystal system is monoclinic. For the formation enthalpy at 0 K, the calculation gives 0.098 eV/atom.

The structure belongs to space group P2_1/m (No. 11); the cell edges are 8.782, 3.622 and 12.204 Å and the angles 90.00°, 90.22° and 90.00°. The distinct sites, in fractional coordinates, are Nd at (0.179, 0.250, 0.257), Ho at (0.098, 0.250, 0.893), Ho at (0.358, 0.750, 0.455), Ho at (0.398, 0.750, 0.749), Th at (0.099, 0.250, 0.601) and Th at (0.360, 0.750, 0.054).

---

CuIr4 | GGA-PBE | relaxed

For the distance to the lowest polymorph of the same formula, the calculation gives 8.90 eV per formula unit. Its crystal system is cubic. For the formation enthalpy at 0 K, the calculation gives 1.847 eV/atom.

The structure belongs to space group Pm-3m (No. 221); the cell edges are 4.400, 4.400 and 4.400 Å and the angles 90.00°, 90.00° and 90.00°. The distinct sites, in fractional coordinates, are Cu at (0.000, 0.000, 0.000), Ir at (0.000, 0.000, 0.500) and Ir at (0.500, 0.500, 0.500).

---

Li3Cd3HgPd2 | GGA-PBE | relaxed

Its crystal system is hexagonal. For the formation enthalpy at 0 K, the calculation gives -0.364 eV/atom.

The structure belongs to space group P-62m (No. 189); the cell edges are 7.8821, 7.8821 and 2.9732 Å and the angles 90.00°, 90.00° and 120.00°. The distinct sites, in fractional coordinates, are Li at (0.0000, 0.6930, 0.0000), Cd at (0.0000, 0.3824, 0.5000), Hg at (0.0000, 0.0000, 0.5000) and Pd at (0.3333, 0.6667, 0.0000).

---

Y2Cl | GGA-PBE | relaxed

For the distance to the lowest polymorph of the same formula, the calculation gives 0.02 eV per formula unit. Its crystal system is orthorhombic. Its energy relative to the elements, uncorrected is -89 kJ per mole of atoms.

The structure belongs to space group Cmcm (No. 63); the cell edges are 3.696, 15.168 and 5.720 Å and the angles 90.00°, 90.00° and 90.00°. The distinct sites, in fractional coordinates, are Y at (0.000, 0.047, 0.250), Y at (0.000, 0.354, 0.250) and Cl at (0.000, 0.299, 0.750).